Compound: Ac2Al4GePt3
Source: the Alexandria database
Functional: PBE-GGA
Structure: optimized geometry

Cell: 4.4910 4.4910 10.3406 Å, 90.00 90.00 90.00°
Fractional coordinates of all 10 atoms:
Ac (0.5000, 0.0000, 0.2520)
Ac (0.0000, 0.5000, 0.7480)
Al (0.5000, 0.5000, 0.0000)
Al (0.0000, 0.0000, 0.0000)
Al (0.5000, 0.0000, 0.6314)
Al (0.0000, 0.5000, 0.3686)
Ge (0.5000, 0.5000, 0.5000)
Pt (0.0000, 0.0000, 0.5000)
Pt (0.5000, 0.0000, 0.8749)
Pt (0.0000, 0.5000, 0.1251)

The calculation puts the total energy at -5.5537 eV/atom. Its energy of formation is -22.16 kcal/mol of atoms. The symmetry is No. 115.


Compound: PuCdIn3
Source: the Alexandria database
Functional: PBE-GGA
Structure: optimized geometry

Cell: 6.3390 3.1611 13.8203 Å, 96.57 111.07 90.00°
Fractional coordinates of all 10 atoms:
Pu (0.3436, 0.4035, 0.8069)
Pu (0.6564, 0.5965, 0.1931)
Cd (0.1619, 0.1000, 0.1999)
Cd (0.8381, 0.9000, 0.8001)
In (0.7460, 0.9997, 0.9993)
In (0.2540, 0.0003, 0.0007)
In (0.5233, 0.7013, 0.4025)
In (0.4767, 0.2987, 0.5975)
In (0.9814, 0.8011, 0.6023)
In (0.0186, 0.1989, 0.3977)

For the energy relative to the lowest polymorph listed for this composition, the calculation gives 0 meV per atom. The calculation puts the total energy at -4.7516 eV/atom. Its energy of formation is -1.36 kcal/mol of atoms. The symmetry is No. 12.


Compound: Pm6ErTm3
Source: the Alexandria database
Functional: PBE-GGA
Structure: optimized geometry

Cell: 6.2729 11.0742 11.0742 Å, 120.72 90.00 90.00°
Fractional coordinates of all 20 atoms:
Pm (0.0443, 0.7133, 0.6252)
Pm (0.5443, 0.6252, 0.7133)
Pm (0.3509, 0.5177, 0.9416)
Pm (0.8509, 0.9416, 0.5177)
Pm (0.4066, 0.9625, 0.0375)
Pm (0.6519, 0.2796, 0.7204)
Pm (0.1519, 0.7204, 0.2796)
Pm (0.9066, 0.0375, 0.9625)
Pm (0.3509, 0.0584, 0.4823)
Pm (0.8509, 0.4823, 0.0584)
Pm (0.0443, 0.3748, 0.2867)
Pm (0.5443, 0.2867, 0.3748)
Er (0.1141, 0.1964, 0.8036)
Er (0.6141, 0.8036, 0.1964)
Tm (0.4721, 0.9466, 0.7219)
Tm (0.9721, 0.7219, 0.9466)
Tm (0.0782, 0.3871, 0.6129)
Tm (0.5782, 0.6129, 0.3871)
Tm (0.9721, 0.0534, 0.2781)
Tm (0.4721, 0.2781, 0.0534)

For the energy relative to the lowest polymorph listed for this composition, the calculation gives 16 meV per atom. The calculation puts the total energy at -4.5034 eV/atom. Its energy of formation is 3.34 kcal/mol of atoms. The symmetry is No. 36.


Compound: YZr2Zn9
Source: the Alexandria database
Functional: PBE-GGA
Structure: optimized geometry

Cell: 5.2990 5.2990 8.9356 Å, 72.75 72.75 60.00°
Fractional coordinates of all 12 atoms:
Y (0.0000, 0.0000, 0.0000)
Zr (0.8562, 0.8562, 0.4313)
Zr (0.1438, 0.1438, 0.5687)
Zn (0.6646, 0.6646, 0.0061)
Zn (0.3354, 0.3354, 0.9939)
Zn (0.5000, 0.5000, 0.5000)
Zn (0.4109, 0.4109, 0.2557)
Zn (0.9225, 0.4109, 0.2557)
Zn (0.4109, 0.9225, 0.2557)
Zn (0.5891, 0.5891, 0.7443)
Zn (0.5891, 0.0775, 0.7443)
Zn (0.0775, 0.5891, 0.7443)

The calculation puts the total energy at -3.2169 eV/atom. Its energy of formation is -6.87 kcal/mol of atoms. The symmetry is No. 166.


Compound: YCoMo4
Source: the Alexandria database
Functional: PBE-GGA
Structure: optimized geometry

Cell: 5.3358 5.3358 5.3358 Å, 60.00 60.00 60.00°
Fractional coordinates of all 6 atoms:
Y (0.7500, 0.7500, 0.7500)
Co (0.0000, 0.0000, 0.0000)
Mo (0.8753, 0.3749, 0.3749)
Mo (0.3749, 0.3749, 0.8753)
Mo (0.3749, 0.8753, 0.3749)
Mo (0.3749, 0.3749, 0.3749)

The calculation puts the total energy at -9.0453 eV/atom. Its energy of formation is 10.08 kcal/mol of atoms. The symmetry is No. 216.


Compound: Rb2SnO
Source: the Alexandria database
Functional: PBE-GGA
Structure: optimized geometry

Cell: 11.9344 11.9344 8.7442 Å, 46.97 46.97 90.00°
Fractional coordinates of all 8 atoms:
O (0.5000, 0.5000, 0.0000)
O (0.2500, 0.7500, 0.5000)
Sn (0.0000, 0.0000, 0.0000)
Sn (0.7500, 0.2500, 0.5000)
Rb (0.4324, 0.1250, 0.2500)
Rb (0.3176, 0.6250, 0.2500)
Rb (0.3750, 0.5676, 0.7500)
Rb (0.8750, 0.6824, 0.7500)

For the energy relative to the lowest polymorph listed for this composition, the calculation gives 0 meV per atom. As for the energy relative to the elements, uncorrected: -0.48 eV/atom. The calculation puts the total energy at -3.2090 eV/atom. The symmetry is No. 122.


Compound: BeNbTc3
Source: the Alexandria database
Functional: PBE-GGA
Structure: optimized geometry

Cell: 4.1723 4.1723 4.1723 Å, 90.00 90.00 90.00°
Fractional coordinates of all 5 atoms:
Be (0.0000, 0.0000, 0.0000)
Nb (0.5000, 0.5000, 0.5000)
Tc (0.0000, 0.5000, 0.0000)
Tc (0.0000, 0.0000, 0.5000)
Tc (0.5000, 0.0000, 0.0000)

For the energy relative to the lowest polymorph listed for this composition, the calculation gives 0 meV per atom. The calculation puts the total energy at -8.6146 eV/atom. Its energy of formation is 8.40 kcal/mol of atoms. The symmetry is No. 221.


Compound: Pa4TcTe2As
Source: the Alexandria database
Functional: PBE-GGA
Structure: optimized geometry

Cell: 4.0489 7.2809 7.5043 Å, 107.49 90.00 90.00°
Fractional coordinates of all 8 atoms:
Pa (0.5000, 0.2515, 0.2149)
Pa (0.5000, 0.7485, 0.7851)
Pa (0.0000, 0.2768, 0.7928)
Pa (0.0000, 0.7232, 0.2072)
Tc (0.5000, 0.5000, 0.0000)
Te (0.5000, 0.0000, 0.5000)
Te (0.0000, 0.5000, 0.5000)
As (0.0000, 0.0000, 0.0000)

As for the energy relative to the elements, uncorrected: -0.65 eV/atom. The calculation puts the total energy at -8.0598 eV/atom. The symmetry is No. 10.


Compound: Gd2HfAg
Source: the Alexandria database
Functional: PBE-GGA
Structure: optimized geometry

Cell: 3.4124 3.4124 8.7997 Å, 90.00 90.00 90.00°
Fractional coordinates of all 4 atoms:
Gd (0.0000, 0.0000, 0.7603)
Gd (0.0000, 0.0000, 0.2397)
Hf (0.5000, 0.5000, 0.5000)
Ag (0.5000, 0.5000, 0.0000)

The calculation puts the total energy at -10.3042 eV/atom. Its energy of formation is -1.44 kcal/mol of atoms. The symmetry is No. 123.


Compound: Rb2PuHBr6
Source: the Alexandria database
Functional: PBE-GGA
Structure: optimized geometry

Cell: 7.7212 7.7220 7.8909 Å, 60.67 60.68 89.95°
Fractional coordinates of all 10 atoms:
Rb (0.7501, 0.2501, 0.4998)
Rb (0.2499, 0.7499, 0.5002)
Pu (0.0000, 0.0000, 0.0000)
H (0.5000, 0.5000, 0.0000)
Br (0.2444, 0.2444, 0.5113)
Br (0.7465, 0.7462, 0.0001)
Br (0.2540, 0.7463, 0.0000)
Br (0.7460, 0.2537, 0.0000)
Br (0.2535, 0.2538, 0.9999)
Br (0.7556, 0.7556, 0.4887)

The calculation puts the total energy at -4.1459 eV/atom. The symmetry is No. 69.


Compound: Ti2CrRh
Source: the Alexandria database
Functional: PBE-GGA
Structure: optimized geometry

Cell: 5.5577 5.5577 5.5577 Å, 58.48 151.32 130.20°
Fractional coordinates of all 4 atoms:
Ti (0.0000, 0.2516, 0.2516)
Ti (0.0000, 0.7484, 0.7484)
Cr (0.0000, 0.0000, 0.0000)
Rh (0.0000, 0.5000, 0.5000)

The calculation puts the total energy at -7.8787 eV/atom. Its energy of formation is 7.21 kcal/mol of atoms. The symmetry is No. 71.


Compound: VPt
Source: the Alexandria database
Functional: PBE-GGA
Structure: optimized geometry

Cell: 2.7598 2.7598 4.3912 Å, 90.00 90.00 120.00°
Fractional coordinates of all 2 atoms:
Pt (0.6667, 0.3333, 0.0000)
V (0.0000, 0.0000, 0.5000)

The calculation puts the total energy at -7.9310 eV/atom. Its energy of formation is -8.10 kcal/mol of atoms. The symmetry is No. 187.


Compound: HoNiHgPd
Source: the Alexandria database
Functional: PBE-GGA
Structure: optimized geometry

Cell: 4.6992 4.6992 4.6992 Å, 60.00 60.00 60.00°
Fractional coordinates of all 4 atoms:
Ni (0.2500, 0.2500, 0.2500)
Hg (0.5000, 0.5000, 0.5000)
Pd (0.7500, 0.7500, 0.7500)
Ho (0.0000, 0.0000, 0.0000)

The calculation puts the total energy at -4.4109 eV/atom. Its energy of formation is -10.32 kcal/mol of atoms. The symmetry is No. 216.